Material: TlPPt2
Method: DFT, PBE
State: optimized geometry

Unit cell a=4.6241 b=4.6241 c=4.6241 alpha=60.00 beta=60.00 gamma=60.00
Closest atoms and distances in Å follow each position.
Fractional positions:
P: 0.0000 0.0000 0.0000  8 Pt 2.83
Tl: 0.5000 0.5000 0.5000  8 Pt 2.83
Pt: 0.2500 0.2500 0.2500  4 Tl 2.83, 4 P 2.83
Pt: 0.7500 0.7500 0.7500  4 Tl 2.83, 4 P 2.83

Summary:
Distance to the lowest polymorph of the same formula (meV per atom): 483
Calculated formation energy (eV/atom): 0.283
Theoretical density (Mg/m³): 14.9

Material: TlPPt2
Method: DFT, PBE
State: optimized geometry

Unit cell a=3.5796 b=2.8911 c=7.3374 alpha=83.33 beta=90.00 gamma=90.00
Closest atoms and distances in Å follow each position.
Fractional positions:
Tl: 0.5000 0.5000 0.5000  2 Tl 2.89, 4 Pt 2.93
P: 0.5000 0.0000 0.0000  4 Pt 2.37
Pt: 0.0000 0.9259 0.2123  2 P 2.37
Pt: 0.0000 0.0741 0.7877  2 P 2.37

Summary:
Distance to the lowest polymorph of the same formula (meV per atom): 208
Calculated formation energy (eV/atom): 0.008
Theoretical density (Mg/m³): 13.8